Material: Cd4MoF12
Method: DFT, PBE+U
State: optimized geometry

Cell: 8.719 8.719 8.033 Å, 90.00 90.00 90.00°
Space group I4/mmm (No. 139)
Asymmetric unit:
Cd: 0.250 0.250 0.250 [8 per cell]
Mo: 0.000 0.000 0.000 [2 per cell]
F: 0.000 0.200 0.153 [16 per cell]
F: 0.192 0.192 0.500 [8 per cell]

- Fermi-level density of states (states/eV per cell) = 0.00
- spin magnetization (μB/f.u.) = 1.95
- electronic total energy (eV/atom) = -4.151